[1]
{
  "formula": "NdSm2Hg2",
  "functional": "PBE-GGA",
  "state": "optimized geometry",
  "spacegroup": "No. 11",
  "dos_at_fermi_per_ev_cell": 11.78,
  "ef_ev_per_atom": -0.3777,
  "final_energy_ev_per_atom": -3.34,
  "density_g_cm3": 9.68,
  "magmom_total_mub_per_fu": 0.39,
  "lattice_angstrom": [[-3.140, -2.146, 0.354], [3.001, -4.041, 2.118], [-0.501, 6.223, 12.581]],
  "species": ["Sm", "Hg", "Sm", "Hg", "Hg", "Sm", "Hg", "Nd", "Nd", "Sm"],
  "fractional_positions": [[0.235, 0.750, 0.472], [0.452, 0.750, 0.906], [0.765, 0.250, 0.528], [0.644, 0.750, 0.288], [0.548, 0.250, 0.094], [0.048, 0.750, 0.095], [0.356, 0.250, 0.712], [0.147, 0.250, 0.291], [0.853, 0.750, 0.709], [0.952, 0.250, 0.905]]
}

***

[2]
{
  "formula": "NdTmFe",
  "functional": "PBE-GGA",
  "state": "optimized geometry",
  "spacegroup": "No. 64",
  "dos_at_fermi_per_ev_cell": 14.77,
  "ef_ev_per_atom": 0.0489,
  "final_energy_ev_per_atom": -5.85,
  "density_g_cm3": 8.01,
  "magmom_total_mub_per_fu": 0.81,
  "lattice_angstrom": [[6.906, 0.000, 0.000], [-3.453, 6.063, 0.000], [0.000, 0.000, 7.312]],
  "species": ["Fe", "Nd", "Nd", "Nd", "Fe", "Fe", "Tm", "Fe", "Tm", "Tm", "Nd", "Tm"],
  "fractional_positions": [[0.410, 0.821, 0.459], [0.698, 0.395, 0.887], [0.302, 0.605, 0.113], [0.198, 0.395, 0.613], [0.090, 0.179, 0.959], [0.910, 0.821, 0.041], [0.209, 0.918, 0.750], [0.590, 0.179, 0.541], [0.291, 0.082, 0.250], [0.709, 0.918, 0.750], [0.802, 0.605, 0.387], [0.791, 0.082, 0.250]]
}

***

[3]
{
  "formula": "LaInPd3Pb",
  "functional": "PBE-GGA",
  "state": "optimized geometry",
  "spacegroup": "No. 63",
  "dos_at_fermi_per_ev_cell": 7.54,
  "ef_ev_per_atom": -0.4509,
  "final_energy_ev_per_atom": -4.94,
  "density_g_cm3": 9.26,
  "magmom_total_mub_per_fu": 0.00,
  "lattice_angstrom": [[-4.223, -5.223, 2.462], [3.737, -4.088, -2.262], [1.473, 1.990, 6.749]],
  "species": ["Pd", "Pd", "In", "La", "Pb", "Pb", "Pd", "Pd", "Pd", "Pd", "In", "La"],
  "fractional_positions": [[0.000, 0.268, 0.000], [0.500, 0.268, 0.000], [0.250, 0.909, 0.819], [0.750, 0.345, 0.690], [0.250, 0.347, 0.695], [0.750, 0.653, 0.305], [0.000, 0.732, 0.000], [0.500, 0.732, 0.000], [0.750, 0.866, 0.731], [0.250, 0.134, 0.269], [0.750, 0.091, 0.181], [0.250, 0.655, 0.310]]
}

***

[4]
{
  "formula": "Pr2Tm2Tl3",
  "functional": "PBE-GGA",
  "state": "optimized geometry",
  "spacegroup": "No. 65",
  "dos_at_fermi_per_ev_cell": 7.04,
  "ef_ev_per_atom": -0.2217,
  "final_energy_ev_per_atom": -3.88,
  "density_g_cm3": 9.78,
  "magmom_total_mub_per_fu": 0.00,
  "lattice_angstrom": [[3.514, 0.000, 0.466], [0.000, 3.616, 0.000], [-0.390, 0.000, 16.415]],
  "species": ["Tl", "Pr", "Tl", "Pr", "Tm", "Tm", "Tl"],
  "fractional_positions": [[0.000, 0.000, 0.000], [0.429, 0.500, 0.142], [0.142, 0.000, 0.717], [0.571, 0.500, 0.858], [0.296, 0.500, 0.407], [0.704, 0.500, 0.593], [0.858, 0.000, 0.283]]
}

***

[5]
{
  "formula": "TaZnCr2",
  "functional": "PBE-GGA",
  "state": "optimized geometry",
  "spacegroup": "No. 35",
  "dos_at_fermi_per_ev_cell": 3.42,
  "ef_ev_per_atom": 0.1901,
  "final_energy_ev_per_atom": -7.90,
  "density_g_cm3": 10.28,
  "magmom_total_mub_per_fu": 0.00,
  "lattice_angstrom": [[2.656, -0.002, 0.000], [-0.892, 2.502, 0.000], [0.000, 0.000, 8.518]],
  "species": ["Zn", "Cr", "Cr", "Ta"],
  "fractional_positions": [[0.500, 0.500, 0.768], [0.500, 0.500, 0.227], [0.000, 0.000, 0.018], [0.000, 0.000, 0.487]]
}

***

[6]
{
  "formula": "In2FeIr",
  "functional": "PBE-GGA",
  "state": "optimized geometry",
  "spacegroup": "No. 123",
  "dos_at_fermi_per_ev_cell": 3.73,
  "ef_ev_per_atom": 0.1538,
  "final_energy_ev_per_atom": -5.55,
  "density_g_cm3": 11.71,
  "magmom_total_mub_per_fu": 1.99,
  "lattice_angstrom": [[4.259, 0.000, 0.000], [0.000, 4.260, 0.000], [0.000, 0.000, 3.736]],
  "species": ["Fe", "In", "Ir", "In"],
  "fractional_positions": [[0.000, 0.500, 0.500], [0.500, 0.500, 0.000], [0.500, 0.000, 0.500], [0.000, 0.000, 0.000]]
}

***

[7]
{
  "formula": "Y8Tm2Th",
  "functional": "PBE-GGA",
  "state": "optimized geometry",
  "spacegroup": "No. 12",
  "dos_at_fermi_per_ev_cell": 15.38,
  "ef_ev_per_atom": 0.1858,
  "final_energy_ev_per_atom": -6.00,
  "density_g_cm3": 5.91,
  "magmom_total_mub_per_fu": 0.00,
  "lattice_angstrom": [[-3.272, -9.075, -3.335], [5.790, 3.216, 6.044], [-0.173, 5.920, 8.313]],
  "species": ["Tm", "Y", "Y", "Y", "Y", "Y", "Y", "Y", "Y", "Th", "Tm"],
  "fractional_positions": [[0.827, 0.309, 0.173], [0.712, 0.758, 0.288], [0.353, 0.712, 0.647], [0.214, 0.223, 0.323], [0.288, 0.242, 0.712], [0.647, 0.288, 0.353], [0.786, 0.777, 0.677], [0.677, 0.223, 0.786], [0.323, 0.777, 0.214], [0.000, 0.000, 0.000], [0.173, 0.691, 0.827]]
}

***

[8]
{
  "formula": "Co2AgRh",
  "functional": "PBE-GGA",
  "state": "optimized geometry",
  "spacegroup": "No. 99",
  "dos_at_fermi_per_ev_cell": 5.51,
  "ef_ev_per_atom": 0.2191,
  "final_energy_ev_per_atom": -5.88,
  "density_g_cm3": 10.05,
  "magmom_total_mub_per_fu": 4.10,
  "lattice_angstrom": [[-2.214, -1.503, 0.326], [0.511, -0.180, 2.641], [-4.022, 6.186, 1.199]],
  "species": ["Rh", "Ag", "Co", "Co"],
  "fractional_positions": [[0.000, 0.000, 0.471], [0.500, 0.500, 0.762], [0.500, 0.500, 0.235], [0.000, 0.000, 0.033]]
}